No. 1
# GGA-PBEsol LiH2Au2, relaxed
data_LiH2Au2
_chemical_formula_sum 'Li1 H2 Au2'
_symmetry_space_group_name_H-M 'P 4/m m m'
_symmetry_Int_Tables_number 123
_symmetry_space_group_name_Hall '-P 4 2'
_cell_length_a 4.064
_cell_length_b 4.064
_cell_length_c 3.588
_cell_angle_alpha 90.00
_cell_angle_beta 90.00
_cell_angle_gamma 90.00
loop_
_atom_site_label
_atom_site_type_symbol
_atom_site_fract_x
_atom_site_fract_y
_atom_site_fract_z
Li1 Li 0.000 0.000 0.000
H1 H 0.000 0.500 0.000
Au1 Au 0.000 0.500 0.500
# Calculated density: 11291 kg/m3
# Magnetic moment: 0.000 μB per cell
# VASP energy: -3.408 eV per atom
# Volume: 11.85 Å³/atom

No. 2
# GGA-PBEsol Li3HAu, relaxed
data_Li3HAu
_chemical_formula_sum 'Li3 H1 Au1'
_symmetry_space_group_name_H-M 'P m -3 m'
_symmetry_Int_Tables_number 221
_symmetry_space_group_name_Hall '-P 4 2 3'
_cell_length_a 3.907
_cell_length_b 3.907
_cell_length_c 3.907
_cell_angle_alpha 90.00
_cell_angle_beta 90.00
_cell_angle_gamma 90.00
loop_
_atom_site_label
_atom_site_type_symbol
_atom_site_fract_x
_atom_site_fract_y
_atom_site_fract_z
Li1 Li 0.000 0.000 0.500
H1 H 0.000 0.000 0.000
Au1 Au 0.500 0.500 0.500
# Calculated density: 6093 kg/m3
# Magnetic moment: 0.000 μB per cell
# VASP energy: -3.009 eV per atom
# Volume: 11.93 Å³/atom

No. 3
# GGA-PBEsol LiMg2HAu, relaxed
data_LiMg2HAu
_chemical_formula_sum 'Li1 Mg2 H1 Au1'
_symmetry_space_group_name_H-M 'P 4/m m m'
_symmetry_Int_Tables_number 123
_symmetry_space_group_name_Hall '-P 4 2'
_cell_length_a 4.383
_cell_length_b 4.383
_cell_length_c 3.604
_cell_angle_alpha 90.00
_cell_angle_beta 90.00
_cell_angle_gamma 90.00
loop_
_atom_site_label
_atom_site_type_symbol
_atom_site_fract_x
_atom_site_fract_y
_atom_site_fract_z
Li1 Li 0.000 0.000 0.000
Mg1 Mg 0.000 0.500 0.500
H1 H 0.000 0.000 0.500
Au1 Au 0.500 0.500 0.000
# Calculated density: 6081 kg/m3
# Magnetic moment: 0.000 μB per cell
# VASP energy: -2.914 eV per atom
# Volume: 13.85 Å³/atom

No. 4
# GGA-PBEsol MgH2Au2, relaxed
data_MgH2Au2
_chemical_formula_sum 'Mg2 H4 Au4'
_symmetry_space_group_name_H-M 'P 4/m b m'
_symmetry_Int_Tables_number 127
_symmetry_space_group_name_Hall '-P 4 2ab'
_cell_length_a 5.717
_cell_length_b 5.717
_cell_length_c 3.766
_cell_angle_alpha 90.00
_cell_angle_beta 90.00
_cell_angle_gamma 90.00
loop_
_atom_site_label
_atom_site_type_symbol
_atom_site_fract_x
_atom_site_fract_y
_atom_site_fract_z
Mg1 Mg 0.000 0.000 0.000
H1 H 0.171 0.329 0.000
Au1 Au 0.177 0.323 0.500
# Calculated density: 11337 kg/m3
# Magnetic moment: 0.000 μB per cell
# VASP energy: -3.374 eV per atom
# Volume: 12.31 Å³/atom

No. 5
# GGA-PBEsol MgHAu3, relaxed
data_MgHAu3
_chemical_formula_sum 'Mg1 H1 Au3'
_symmetry_space_group_name_H-M 'P m -3 m'
_symmetry_Int_Tables_number 221
_symmetry_space_group_name_Hall '-P 4 2 3'
_cell_length_a 4.927
_cell_length_b 4.927
_cell_length_c 4.927
_cell_angle_alpha 90.00
_cell_angle_beta 90.00
_cell_angle_gamma 90.00
loop_
_atom_site_label
_atom_site_type_symbol
_atom_site_fract_x
_atom_site_fract_y
_atom_site_fract_z
Mg1 Mg 0.000 0.000 0.000
H1 H 0.500 0.500 0.500
Au1 Au 0.000 0.000 0.500
# Calculated density: 8557 kg/m3
# Magnetic moment: 0.928 μB per cell
# VASP energy: -2.209 eV per atom
# Volume: 23.92 Å³/atom

No. 6
# GGA-PBEsol MgH2Au, relaxed
data_MgH2Au
_chemical_formula_sum 'Mg4 H8 Au4'
_symmetry_space_group_name_H-M 'F m -3 m'
_symmetry_Int_Tables_number 225
_symmetry_space_group_name_Hall '-F 4 2 3'
_cell_length_a 5.549
_cell_length_b 5.549
_cell_length_c 5.549
_cell_angle_alpha 90.00
_cell_angle_beta 90.00
_cell_angle_gamma 90.00
loop_
_atom_site_label
_atom_site_type_symbol
_atom_site_fract_x
_atom_site_fract_y
_atom_site_fract_z
Mg1 Mg 0.000 0.000 0.000
H1 H 0.250 0.250 0.250
Au1 Au 0.000 0.000 0.500
# Calculated density: 8679 kg/m3
# Magnetic moment: 0.001 μB per cell
# VASP energy: -2.808 eV per atom
# Volume: 10.68 Å³/atom

No. 7
# GGA-PBEsol Mg2HPbAu, relaxed
data_Mg2HPbAu
_chemical_formula_sum 'Mg2 H1 Pb1 Au1'
_symmetry_space_group_name_H-M 'P 4/m m m'
_symmetry_Int_Tables_number 123
_symmetry_space_group_name_Hall '-P 4 2'
_cell_length_a 4.966
_cell_length_b 4.966
_cell_length_c 3.611
_cell_angle_alpha 90.00
_cell_angle_beta 90.00
_cell_angle_gamma 90.00
loop_
_atom_site_label
_atom_site_type_symbol
_atom_site_fract_x
_atom_site_fract_y
_atom_site_fract_z
Mg1 Mg 0.000 0.500 0.000
H1 H 0.000 0.000 0.000
Pb1 Pb 0.500 0.500 0.500
Au1 Au 0.000 0.000 0.500
# Calculated density: 8462 kg/m3
# Magnetic moment: 0.000 μB per cell
# VASP energy: -3.049 eV per atom
# Volume: 17.81 Å³/atom

No. 8
# GGA-PBEsol Mn3HAu, relaxed
data_Mn3HAu
_chemical_formula_sum 'Mn3 H1 Au1'
_symmetry_space_group_name_H-M 'P m -3 m'
_symmetry_Int_Tables_number 221
_symmetry_space_group_name_Hall '-P 4 2 3'
_cell_length_a 3.692
_cell_length_b 3.692
_cell_length_c 3.692
_cell_angle_alpha 90.00
_cell_angle_beta 90.00
_cell_angle_gamma 90.00
loop_
_atom_site_label
_atom_site_type_symbol
_atom_site_fract_x
_atom_site_fract_y
_atom_site_fract_z
Mn1 Mn 0.000 0.000 0.500
H1 H 0.000 0.000 0.000
Au1 Au 0.500 0.500 0.500
# Calculated density: 11968 kg/m3
# Magnetic moment: 3.960 μB per cell
# VASP energy: -7.109 eV per atom
# Volume: 10.07 Å³/atom

No. 9
# GGA-PBEsol Sr2MnHAu, relaxed
data_Sr2MnHAu
_chemical_formula_sum 'Sr2 Mn1 H1 Au1'
_symmetry_space_group_name_H-M 'P 4/m m m'
_symmetry_Int_Tables_number 123
_symmetry_space_group_name_Hall '-P 4 2'
_cell_length_a 5.272
_cell_length_b 5.272
_cell_length_c 3.928
_cell_angle_alpha 90.00
_cell_angle_beta 90.00
_cell_angle_gamma 90.00
loop_
_atom_site_label
_atom_site_type_symbol
_atom_site_fract_x
_atom_site_fract_y
_atom_site_fract_z
Sr1 Sr 0.000 0.500 0.000
Mn1 Mn 0.000 0.000 0.500
H1 H 0.500 0.500 0.000
Au1 Au 0.500 0.500 0.500
# Calculated density: 6511 kg/m3
# Magnetic moment: 3.781 μB per cell
# VASP energy: -4.093 eV per atom
# Volume: 21.84 Å³/atom

No. 10
# GGA-PBEsol MoHAu2, relaxed
data_MoHAu2
_chemical_formula_sum 'Mo4 H4 Au8'
_symmetry_space_group_name_H-M 'F m -3 m'
_symmetry_Int_Tables_number 225
_symmetry_space_group_name_Hall '-F 4 2 3'
_cell_length_a 6.173
_cell_length_b 6.173
_cell_length_c 6.173
_cell_angle_alpha 90.00
_cell_angle_beta 90.00
_cell_angle_gamma 90.00
loop_
_atom_site_label
_atom_site_type_symbol
_atom_site_fract_x
_atom_site_fract_y
_atom_site_fract_z
Mo1 Mo 0.000 0.000 0.000
H1 H 0.000 0.000 0.500
Au1 Au 0.250 0.250 0.250
# Calculated density: 13862 kg/m3
# Magnetic moment: 4.273 μB per cell
# VASP energy: -4.732 eV per atom
# Volume: 14.70 Å³/atom

No. 11
# GGA-PBEsol HAu2N, relaxed
data_HAu2N
_chemical_formula_sum 'H4 Au8 N4'
_symmetry_space_group_name_H-M 'I -4 2 d'
_symmetry_Int_Tables_number 122
_symmetry_space_group_name_Hall 'I -4 2bw'
_cell_length_a 4.597
_cell_length_b 4.597
_cell_length_c 9.368
_cell_angle_alpha 90.00
_cell_angle_beta 90.00
_cell_angle_gamma 90.00
loop_
_atom_site_label
_atom_site_type_symbol
_atom_site_fract_x
_atom_site_fract_y
_atom_site_fract_z
H1 H 0.000 0.000 0.000
Au1 Au 0.203 0.250 0.125
N1 N 0.000 0.000 0.500
# Calculated density: 13723 kg/m3
# Magnetic moment: 0.001 μB per cell
# VASP energy: -4.014 eV per atom
# Volume: 12.37 Å³/atom

No. 12
# GGA-PBEsol HAu2N, relaxed
data_HAu2N
_chemical_formula_sum 'H4 Au8 N4'
_symmetry_space_group_name_H-M 'F m -3 m'
_symmetry_Int_Tables_number 225
_symmetry_space_group_name_Hall '-F 4 2 3'
_cell_length_a 5.676
_cell_length_b 5.676
_cell_length_c 5.676
_cell_angle_alpha 90.00
_cell_angle_beta 90.00
_cell_angle_gamma 90.00
loop_
_atom_site_label
_atom_site_type_symbol
_atom_site_fract_x
_atom_site_fract_y
_atom_site_fract_z
H1 H 0.000 0.000 0.000
Au1 Au 0.250 0.250 0.250
N1 N 0.000 0.000 0.500
# Calculated density: 14854 kg/m3
# Magnetic moment: 0.000 μB per cell
# VASP energy: -3.490 eV per atom
# Volume: 11.43 Å³/atom

No. 13
# GGA-PBEsol Na2HAu, relaxed
data_Na2HAu
_chemical_formula_sum 'Na8 H4 Au4'
_symmetry_space_group_name_H-M 'I -4 2 d'
_symmetry_Int_Tables_number 122
_symmetry_space_group_name_Hall 'I -4 2bw'
_cell_length_a 6.617
_cell_length_b 6.617
_cell_length_c 7.216
_cell_angle_alpha 90.00
_cell_angle_beta 90.00
_cell_angle_gamma 90.00
loop_
_atom_site_label
_atom_site_type_symbol
_atom_site_fract_x
_atom_site_fract_y
_atom_site_fract_z
Na1 Na 0.158 0.750 0.125
H1 H 0.000 0.000 0.000
Au1 Au 0.000 0.000 0.500
# Calculated density: 5129 kg/m3
# Magnetic moment: 0.000 μB per cell
# VASP energy: -2.540 eV per atom
# Volume: 19.74 Å³/atom

No. 14
# GGA-PBEsol NaH3Au, relaxed
data_NaH3Au
_chemical_formula_sum 'Na2 H6 Au2'
_symmetry_space_group_name_H-M 'P 1'
_symmetry_Int_Tables_number 1
_symmetry_space_group_name_Hall 'P 1'
_cell_length_a 3.499
_cell_length_b 5.575
_cell_length_c 7.438
_cell_angle_alpha 101.54
_cell_angle_beta 102.01
_cell_angle_gamma 107.21
loop_
_atom_site_label
_atom_site_type_symbol
_atom_site_fract_x
_atom_site_fract_y
_atom_site_fract_z
Na1 Na 0.000 0.000 0.000
Na2 Na 0.010 0.509 0.502
H1 H 0.071 0.048 0.546
H2 H 0.325 0.346 0.271
H3 H 0.490 0.874 0.123
H4 H 0.500 0.113 0.865
H5 H 0.684 0.652 0.731
H6 H 0.902 0.953 0.450
Au1 Au 0.398 0.601 0.183
Au2 Au 0.602 0.392 0.812
# Calculated density: 5691 kg/m3
# Magnetic moment: 0.000 μB per cell
# VASP energy: -3.129 eV per atom
# Volume: 13.01 Å³/atom